{
  "formula": "SbTe2Ir",
  "functional": "PBE",
  "state": "relaxed",
  "cell": [[11.905, -0.122, -0.071], [11.522, 2.997, -0.071], [11.522, 1.414, 2.643]],
  "species": ["Te", "Te", "Sb", "Ir"],
  "frac_coords": [[0.073, 0.073, 0.073], [0.927, 0.927, 0.927], [0.500, 0.500, 0.500], [0.000, 0.000, 0.000]],
  "formation_energy_uncorrected_ev_per_atom": 0.514,
  "space_group": "R-3m",
  "crystal_system": "trigonal"
}

***

{
  "formula": "Sb3TeIr",
  "functional": "PBE",
  "state": "relaxed",
  "cell": [[5.539, 0.077, 0.000], [0.175, 5.476, 0.000], [0.000, 0.000, 8.638]],
  "species": ["Sb", "Sb", "Sb", "Sb", "Sb", "Sb", "Te", "Te", "Ir", "Ir"],
  "frac_coords": [[0.208, 0.774, 0.544], [0.792, 0.226, 0.456], [0.792, 0.226, 0.044], [0.186, 0.329, 0.750], [0.814, 0.671, 0.250], [0.208, 0.774, 0.956], [0.640, 0.790, 0.750], [0.360, 0.210, 0.250], [0.323, 0.706, 0.250], [0.677, 0.294, 0.750]],
  "formation_energy_uncorrected_ev_per_atom": 0.088,
  "de_polymorph_ev_per_atom": 0.000,
  "space_group": "P2_1/m",
  "crystal_system": "monoclinic"
}

***

{
  "formula": "SbTe3Ir",
  "functional": "PBE",
  "state": "relaxed",
  "cell": [[5.248, 0.000, 0.000], [0.000, 5.248, 0.000], [0.000, 0.000, 5.248]],
  "species": ["Te", "Te", "Te", "Sb", "Ir"],
  "frac_coords": [[0.500, 0.000, 0.000], [0.000, 0.500, 0.000], [0.000, 0.000, 0.500], [0.500, 0.500, 0.500], [0.000, 0.000, 0.000]],
  "formation_energy_uncorrected_ev_per_atom": 0.463,
  "de_polymorph_ev_per_atom": 0.000,
  "space_group": "Pm-3m",
  "crystal_system": "cubic"
}

***

{
  "formula": "Th4SbTe2Ir",
  "functional": "PBE",
  "state": "relaxed",
  "cell": [[-3.652, 0.670, -2.098], [-4.053, -1.877, 6.454], [1.325, 7.705, 0.155]],
  "species": ["Sb", "Th", "Th", "Th", "Th", "Te", "Te", "Ir"],
  "frac_coords": [[0.000, 0.000, 0.000], [0.500, 0.265, 0.229], [0.000, 0.288, 0.791], [0.000, 0.712, 0.209], [0.500, 0.735, 0.771], [0.000, 0.500, 0.500], [0.500, 0.000, 0.500], [0.500, 0.500, 0.000]],
  "formation_energy_uncorrected_ev_per_atom": -1.041,
  "space_group": "P2/m",
  "crystal_system": "monoclinic"
}

***

{
  "formula": "TiSb2TeIr",
  "functional": "PBE",
  "state": "relaxed",
  "cell": [[5.048, 0.000, 0.000], [0.000, 5.048, 0.000], [0.000, 0.000, 5.603]],
  "species": ["Sb", "Sb", "Ti", "Ir", "Te"],
  "frac_coords": [[0.000, 0.500, 0.000], [0.500, 0.000, 0.000], [0.500, 0.500, 0.500], [0.000, 0.000, 0.000], [0.000, 0.000, 0.500]],
  "formation_energy_uncorrected_ev_per_atom": 0.643,
  "de_polymorph_ev_per_atom": 0.000,
  "space_group": "P4/mmm",
  "crystal_system": "tetragonal"
}

***

{
  "formula": "TiSb2TeIr",
  "functional": "PBE",
  "state": "relaxed",
  "cell": [[-4.081, 1.195, 2.907], [-3.140, -1.331, -3.861], [-0.143, -4.774, 1.762]],
  "species": ["Sb", "Sb", "Ti", "Te", "Ir"],
  "frac_coords": [[0.500, 0.000, 0.000], [0.000, 0.500, 0.000], [0.000, 0.000, 0.000], [0.000, 0.000, 0.500], [0.500, 0.500, 0.500]],
  "formation_energy_uncorrected_ev_per_atom": 0.906,
  "de_polymorph_ev_per_atom": 0.263,
  "space_group": "P4/mmm",
  "crystal_system": "tetragonal"
}

***

{
  "formula": "SbTe2IrW",
  "functional": "PBE",
  "state": "relaxed",
  "cell": [[-4.089, -1.355, -2.809], [2.952, -3.175, -2.766], [-1.016, -3.852, 3.337]],
  "species": ["Te", "Te", "Sb", "Ir", "W"],
  "frac_coords": [[0.500, 0.000, 0.000], [0.000, 0.500, 0.000], [0.000, 0.000, 0.500], [0.500, 0.500, 0.500], [0.000, 0.000, 0.000]],
  "formation_energy_uncorrected_ev_per_atom": 1.373,
  "space_group": "P4/mmm",
  "crystal_system": "tetragonal"
}

***

{
  "formula": "Sb2TeIrW",
  "functional": "PBE",
  "state": "relaxed",
  "cell": [[5.161, 0.000, 0.000], [0.000, 5.161, 0.000], [0.000, 0.000, 5.120]],
  "species": ["W", "Ir", "Te", "Sb", "Sb"],
  "frac_coords": [[0.000, 0.000, 0.000], [0.500, 0.500, 0.500], [0.000, 0.000, 0.500], [0.000, 0.500, 0.000], [0.500, 0.000, 0.000]],
  "formation_energy_uncorrected_ev_per_atom": 1.331,
  "de_polymorph_ev_per_atom": 0.000,
  "space_group": "P4/mmm",
  "crystal_system": "tetragonal"
}

***

{
  "formula": "Sb2TeIrW",
  "functional": "PBE",
  "state": "relaxed",
  "cell": [[5.043, 0.000, 0.000], [0.000, 5.043, 0.000], [0.000, 0.000, 5.387]],
  "species": ["Sb", "Sb", "Te", "W", "Ir"],
  "frac_coords": [[0.000, 0.500, 0.000], [0.500, 0.000, 0.000], [0.000, 0.000, 0.500], [0.500, 0.500, 0.500], [0.000, 0.000, 0.000]],
  "formation_energy_uncorrected_ev_per_atom": 1.361,
  "de_polymorph_ev_per_atom": 0.030,
  "space_group": "P4/mmm",
  "crystal_system": "tetragonal"
}

***

{
  "formula": "SbTe2IrW",
  "functional": "PBE",
  "state": "relaxed",
  "cell": [[5.294, 0.000, 0.000], [0.000, 5.294, 0.000], [0.000, 0.000, 4.946]],
  "species": ["Ir", "Sb", "Te", "Te", "W"],
  "frac_coords": [[0.000, 0.000, 0.000], [0.000, 0.000, 0.500], [0.000, 0.500, 0.000], [0.500, 0.000, 0.000], [0.500, 0.500, 0.500]],
  "formation_energy_uncorrected_ev_per_atom": 1.374,
  "space_group": "P4/mmm",
  "crystal_system": "tetragonal"
}

***

{
  "formula": "YSb2TeIr",
  "functional": "PBE",
  "state": "relaxed",
  "cell": [[-4.154, -2.464, 3.067], [-1.176, -3.478, -4.387], [3.683, -3.744, 1.981]],
  "species": ["Te", "Sb", "Sb", "Y", "Ir"],
  "frac_coords": [[0.000, 0.000, 0.500], [0.500, 0.000, 0.000], [0.000, 0.500, 0.000], [0.000, 0.000, 0.000], [0.500, 0.500, 0.500]],
  "formation_energy_uncorrected_ev_per_atom": 1.221,
  "de_polymorph_ev_per_atom": 1.149,
  "space_group": "P4/mmm",
  "crystal_system": "tetragonal"
}

***

{
  "formula": "YSb2TeIr",
  "functional": "PBE",
  "state": "relaxed",
  "cell": [[5.099, 0.000, 0.000], [0.000, 5.099, 0.000], [0.000, 0.000, 5.592]],
  "species": ["Sb", "Sb", "Y", "Te", "Ir"],
  "frac_coords": [[0.000, 0.500, 0.000], [0.500, 0.000, 0.000], [0.500, 0.500, 0.500], [0.000, 0.000, 0.500], [0.000, 0.000, 0.000]],
  "formation_energy_uncorrected_ev_per_atom": 0.072,
  "de_polymorph_ev_per_atom": 0.000,
  "space_group": "P4/mmm",
  "crystal_system": "tetragonal"
}

***

{
  "formula": "ZnSb2TeIr",
  "functional": "PBE",
  "state": "relaxed",
  "cell": [[5.058, 0.000, 0.000], [0.000, 5.058, 0.000], [0.000, 0.000, 5.782]],
  "species": ["Sb", "Sb", "Te", "Zn", "Ir"],
  "frac_coords": [[0.500, 0.000, 0.000], [0.000, 0.500, 0.000], [0.000, 0.000, 0.500], [0.500, 0.500, 0.500], [0.000, 0.000, 0.000]],
  "formation_energy_uncorrected_ev_per_atom": 0.536,
  "de_polymorph_ev_per_atom": 0.000,
  "space_group": "P4/mmm",
  "crystal_system": "tetragonal"
}

***

{
  "formula": "Th5Sb2Ir",
  "functional": "PBE",
  "state": "relaxed",
  "cell": [[-0.602, 1.829, 5.767], [-1.511, -6.554, -1.284], [13.322, -3.566, 2.522]],
  "species": ["Sb", "Sb", "Sb", "Sb", "Th", "Th", "Th", "Th", "Th", "Th", "Th", "Th", "Th", "Th", "Ir", "Ir"],
  "frac_coords": [[0.798, 0.597, 0.067], [0.202, 0.403, 0.933], [0.202, 0.403, 0.567], [0.798, 0.597, 0.433], [0.054, 0.108, 0.383], [0.342, 0.683, 0.750], [0.946, 0.892, 0.617], [0.620, 0.239, 0.895], [0.946, 0.892, 0.883], [0.620, 0.239, 0.605], [0.054, 0.108, 0.117], [0.380, 0.761, 0.395], [0.380, 0.761, 0.105], [0.658, 0.317, 0.250], [0.217, 0.435, 0.250], [0.783, 0.565, 0.750]],
  "formation_energy_uncorrected_ev_per_atom": -0.364,
  "space_group": "Cmcm",
  "crystal_system": "orthorhombic"
}

***

{
  "formula": "Th3SbIr",
  "functional": "PBE",
  "state": "relaxed",
  "cell": [[-0.085, 4.200, 1.456], [-4.186, -3.541, 3.166], [7.746, -2.446, 7.506]],
  "species": ["Sb", "Sb", "Th", "Th", "Th", "Th", "Th", "Th", "Ir", "Ir"],
  "frac_coords": [[0.753, 0.507, 0.250], [0.247, 0.493, 0.750], [0.849, 0.698, 0.949], [0.849, 0.698, 0.551], [0.151, 0.302, 0.051], [0.151, 0.302, 0.449], [0.463, 0.926, 0.250], [0.537, 0.074, 0.750], [0.500, 0.000, 0.500], [0.500, 0.000, 0.000]],
  "formation_energy_uncorrected_ev_per_atom": -0.753,
  "space_group": "Cmcm",
  "crystal_system": "orthorhombic"
}

***

{
  "formula": "Th3Sb2Ir",
  "functional": "PBE",
  "state": "relaxed",
  "cell": [[-1.356, -0.885, -4.155], [3.718, -2.359, -0.710], [-5.394, -5.917, 5.414]],
  "species": ["Th", "Th", "Th", "Sb", "Sb", "Ir"],
  "frac_coords": [[0.934, 0.936, 0.874], [0.286, 0.287, 0.577], [0.583, 0.584, 0.170], [0.759, 0.760, 0.523], [0.110, 0.111, 0.225], [0.434, 0.436, 0.874]],
  "formation_energy_uncorrected_ev_per_atom": -0.906,
  "de_polymorph_ev_per_atom": 0.000,
  "space_group": "I4/mmm",
  "crystal_system": "tetragonal"
}

***

{
  "formula": "Th4SbIr2",
  "functional": "PBE",
  "state": "relaxed",
  "cell": [[4.193, 0.000, 0.000], [-2.096, 6.941, 0.000], [0.000, 0.000, 14.160]],
  "species": ["Th", "Th", "Th", "Th", "Th", "Th", "Th", "Th", "Ir", "Ir", "Ir", "Ir", "Sb", "Sb"],
  "frac_coords": [[0.500, 0.000, 0.500], [0.761, 0.523, 0.114], [0.936, 0.872, 0.750], [0.064, 0.128, 0.250], [0.239, 0.477, 0.886], [0.239, 0.477, 0.614], [0.761, 0.523, 0.386], [0.500, 0.000, 0.000], [0.130, 0.261, 0.058], [0.870, 0.739, 0.558], [0.130, 0.261, 0.442], [0.870, 0.739, 0.942], [0.612, 0.223, 0.750], [0.388, 0.777, 0.250]],
  "formation_energy_uncorrected_ev_per_atom": -0.816,
  "space_group": "Cmcm",
  "crystal_system": "orthorhombic"
}

***

{
  "formula": "ThSbIr",
  "functional": "PBE",
  "state": "relaxed",
  "cell": [[-3.193, 0.940, 2.140], [-2.224, -0.107, -3.271], [1.823, -5.142, 1.322]],
  "species": ["Sb", "Th", "Ir"],
  "frac_coords": [[0.271, 0.271, 0.542], [0.591, 0.591, 0.181], [0.988, 0.988, 0.977]],
  "formation_energy_uncorrected_ev_per_atom": -0.394,
  "space_group": "I4mm",
  "crystal_system": "tetragonal"
}

***

{
  "formula": "Th3Sb2Ir",
  "functional": "PBE",
  "state": "relaxed",
  "cell": [[-3.525, -1.488, 5.059], [5.157, -6.469, 1.690], [4.288, 6.411, 0.897]],
  "species": ["Th", "Th", "Th", "Th", "Th", "Th", "Ir", "Ir", "Sb", "Sb", "Sb", "Sb"],
  "frac_coords": [[0.140, 0.570, 0.281], [0.860, 0.430, 0.719], [0.140, 0.070, 0.281], [0.500, 0.250, 0.000], [0.860, 0.930, 0.719], [0.500, 0.750, 0.000], [0.000, 0.250, 0.000], [0.000, 0.750, 0.000], [0.322, 0.411, 0.643], [0.322, 0.911, 0.643], [0.678, 0.589, 0.357], [0.678, 0.089, 0.357]],
  "formation_energy_uncorrected_ev_per_atom": -0.887,
  "de_polymorph_ev_per_atom": 0.019,
  "space_group": "Immm",
  "crystal_system": "orthorhombic"
}

***

{
  "formula": "Th3Sb4Ir3",
  "functional": "PBE",
  "state": "relaxed",
  "cell": [[8.062, 0.000, -2.850], [-4.031, 6.982, -2.850], [0.000, 0.000, 8.551]],
  "species": ["Sb", "Sb", "Sb", "Sb", "Sb", "Sb", "Sb", "Sb", "Th", "Th", "Th", "Th", "Th", "Th", "Ir", "Ir", "Ir", "Ir", "Ir", "Ir"],
  "frac_coords": [[0.000, 0.000, 0.829], [0.171, 0.671, 0.671], [0.000, 0.000, 0.329], [0.829, 0.500, 0.000], [0.329, 0.500, 0.000], [0.500, 0.329, 0.500], [0.671, 0.171, 0.171], [0.500, 0.829, 0.500], [0.375, 0.125, 0.750], [0.875, 0.250, 0.625], [0.750, 0.625, 0.375], [0.125, 0.375, 0.250], [0.625, 0.750, 0.875], [0.250, 0.875, 0.125], [0.625, 0.875, 0.250], [0.750, 0.125, 0.875], [0.125, 0.750, 0.375], [0.375, 0.250, 0.125], [0.875, 0.625, 0.750], [0.250, 0.375, 0.625]],
  "formation_energy_uncorrected_ev_per_atom": -0.888,
  "space_group": "I-43d",
  "crystal_system": "cubic"
}

***

Number 1: D(E_F) 3.78 states/eV/f.u., total energy -4.303 eV/atom. Number 2: D(E_F) 2.97 states/eV/f.u., total energy -4.786 eV/atom. Number 3: D(E_F) 6.98 states/eV/f.u., total energy -4.019 eV/atom. Number 4: D(E_F) 5.46 states/eV/f.u., total energy -7.159 eV/atom. Number 5: D(E_F) 5.50 states/eV/f.u., total energy -4.985 eV/atom. Number 6: D(E_F) 4.91 states/eV/f.u., total energy -4.722 eV/atom. Number 7: D(E_F) 3.83 states/eV/f.u., total energy -5.071 eV/atom. Number 8: D(E_F) 3.46 states/eV/f.u., total energy -5.309 eV/atom. Number 9: D(E_F) 4.35 states/eV/f.u., total energy -5.279 eV/atom. Number 10: D(E_F) 3.89 states/eV/f.u., total energy -5.070 eV/atom. Number 11: D(E_F) 7.21 states/eV/f.u., total energy -4.121 eV/atom. Number 12: D(E_F) 5.59 states/eV/f.u., total energy -5.270 eV/atom. Number 13: D(E_F) 3.73 states/eV/f.u., total energy -3.768 eV/atom. Number 14: D(E_F) 8.67 states/eV/f.u., total energy -7.140 eV/atom. Number 15: D(E_F) 4.81 states/eV/f.u., total energy -7.801 eV/atom. Number 16: D(E_F) 6.59 states/eV/f.u., total energy -7.467 eV/atom. Number 17: D(E_F) 6.53 states/eV/f.u., total energy -8.177 eV/atom. Number 18: D(E_F) 2.54 states/eV/f.u., total energy -7.195 eV/atom. Number 19: D(E_F) 6.01 states/eV/f.u., total energy -7.448 eV/atom. Number 20: D(E_F) 10.62 states/eV/f.u., total energy -7.421 eV/atom.